Record 1
# SrMoCl2 | the Alexandria database | GGA-PBE | relaxed
data_SrMoCl2
_chemical_formula_sum 'Sr4 Mo4 Cl8'
_cell_length_a 7.534
_cell_length_b 7.534
_cell_length_c 7.534
_cell_angle_alpha 90.00
_cell_angle_beta 90.00
_cell_angle_gamma 90.00
_space_group_name_H-M_alt 'F m -3 m'
_space_group_IT_number 225
_space_group_name_Hall '-F 4 2 3'
loop_
_atom_site_label
_atom_site_type_symbol
_atom_site_fract_x
_atom_site_fract_y
_atom_site_fract_z
Sr1 Sr 0.000 0.000 0.000
Mo1 Mo 0.000 0.000 0.500
Cl1 Cl 0.250 0.250 0.250
# D(E_F): 6.7 states/eV/cell
# E_tot: -17.2 eV/f.u.
# energy relative to the elements, uncorrected: -96 kJ/mol of formula units
# crystal system: cubic
# density: 3.95 g cm⁻³
# energy relative to the lowest polymorph listed for this composition: 0.234 eV per atom

---

Record 2
# SrMo2Cl | the Alexandria database | GGA-PBE | relaxed
data_SrMo2Cl
_chemical_formula_sum 'Sr1 Mo2 Cl1'
_cell_length_a 3.375
_cell_length_b 3.375
_cell_length_c 8.794
_cell_angle_alpha 90.00
_cell_angle_beta 90.00
_cell_angle_gamma 90.00
_space_group_name_H-M_alt 'P 4 m m'
_space_group_IT_number 99
_space_group_name_Hall 'P 4 -2'
loop_
_atom_site_label
_atom_site_type_symbol
_atom_site_fract_x
_atom_site_fract_y
_atom_site_fract_z
Sr1 Sr 0.000 0.000 0.000
Mo1 Mo 0.000 0.000 0.593
Mo2 Mo 0.500 0.500 0.705
Cl1 Cl 0.500 0.500 0.196
# D(E_F): 3.1 states/eV/cell
# E_tot: -25.3 eV/f.u.
# energy relative to the elements, uncorrected: -6 kJ/mol of formula units
# crystal system: tetragonal
# density: 5.22 g cm⁻³
# energy relative to the lowest polymorph listed for this composition: 0.050 eV per atom

---

Record 3
# SrMo2Cl | the Alexandria database | GGA-PBE | relaxed
data_SrMo2Cl
_chemical_formula_sum 'Sr2 Mo4 Cl2'
_cell_length_a 5.062
_cell_length_b 12.782
_cell_length_c 2.974
_cell_angle_alpha 90.00
_cell_angle_beta 90.00
_cell_angle_gamma 90.00
_space_group_name_H-M_alt 'C m m m'
_space_group_IT_number 65
_space_group_name_Hall '-C 2 2'
loop_
_atom_site_label
_atom_site_type_symbol
_atom_site_fract_x
_atom_site_fract_y
_atom_site_fract_z
Sr1 Sr 0.000 0.000 0.000
Mo1 Mo 0.250 0.250 0.500
Cl1 Cl 0.000 0.500 0.000
# D(E_F): 8.0 states/eV/cell
# E_tot: -21.7 eV/f.u.
# energy relative to the elements, uncorrected: 338 kJ/mol of formula units
# crystal system: orthorhombic
# density: 5.43 g cm⁻³
# energy relative to the lowest polymorph listed for this composition: 0.941 eV per atom

---

Record 4
# SrMoCl2 | the Alexandria database | GGA-PBE | relaxed
data_SrMoCl2
_chemical_formula_sum 'Sr3 Mo3 Cl6'
_cell_length_a 3.5354
_cell_length_b 3.5354
_cell_length_c 28.8486
_cell_angle_alpha 90.00
_cell_angle_beta 90.00
_cell_angle_gamma 120.00
_space_group_name_H-M_alt 'R 3 m'
_space_group_IT_number 160
_space_group_name_Hall 'R 3 -2"'
loop_
_atom_site_label
_atom_site_type_symbol
_atom_site_fract_x
_atom_site_fract_y
_atom_site_fract_z
Sr1 Sr 0.0000 0.0000 0.0000
Mo1 Mo 0.0000 0.0000 0.2375
Cl1 Cl 0.0000 0.0000 0.5220
Cl2 Cl 0.0000 0.0000 0.7329
# D(E_F): 8.2 states/eV/cell
# E_tot: -18.0 eV/f.u.
# energy relative to the elements, uncorrected: -175 kJ/mol of formula units
# crystal system: trigonal
# density: 4.06 g cm⁻³
# energy relative to the lowest polymorph listed for this composition: 0.031 eV per atom

---

Record 5
# SrMo2Cl | the Alexandria database | GGA-PBE | relaxed
data_SrMo2Cl
_chemical_formula_sum 'Sr3 Mo6 Cl3'
_cell_length_a 3.0186
_cell_length_b 3.0186
_cell_length_c 29.3893
_cell_angle_alpha 90.00
_cell_angle_beta 90.00
_cell_angle_gamma 120.00
_space_group_name_H-M_alt 'R -3 m'
_space_group_IT_number 166
_space_group_name_Hall '-R 3 2"'
loop_
_atom_site_label
_atom_site_type_symbol
_atom_site_fract_x
_atom_site_fract_y
_atom_site_fract_z
Sr1 Sr 0.0000 0.0000 0.0000
Mo1 Mo 0.0000 0.0000 0.2359
Cl1 Cl 0.0000 0.0000 0.5000
# D(E_F): 16.9 states/eV/cell
# E_tot: -21.1 eV/f.u.
# energy relative to the elements, uncorrected: 397 kJ/mol of formula units
# crystal system: trigonal
# density: 6.77 g cm⁻³
# energy relative to the lowest polymorph listed for this composition: 1.095 eV per atom

---

Record 6
# SrMoCl2 | the Alexandria database | GGA-PBE | relaxed
data_SrMoCl2
_chemical_formula_sum 'Sr3 Mo3 Cl6'
_cell_length_a 3.3985
_cell_length_b 3.3985
_cell_length_c 27.2912
_cell_angle_alpha 90.00
_cell_angle_beta 90.00
_cell_angle_gamma 120.00
_space_group_name_H-M_alt 'R -3 m'
_space_group_IT_number 166
_space_group_name_Hall '-R 3 2"'
loop_
_atom_site_label
_atom_site_type_symbol
_atom_site_fract_x
_atom_site_fract_y
_atom_site_fract_z
Sr1 Sr 0.0000 0.0000 0.0000
Mo1 Mo 0.0000 0.0000 0.5000
Cl1 Cl 0.0000 0.0000 0.4114
# D(E_F): 8.7 states/eV/cell
# E_tot: -17.2 eV/f.u.
# energy relative to the elements, uncorrected: -95 kJ/mol of formula units
# crystal system: trigonal
# density: 4.64 g cm⁻³
# energy relative to the lowest polymorph listed for this composition: 0.236 eV per atom

---

Record 7
# SrMo4Cl | the Alexandria database | GGA-PBE | relaxed
data_SrMo4Cl
_chemical_formula_sum 'Sr4 Mo16 Cl4'
_cell_length_a 7.843
_cell_length_b 7.843
_cell_length_c 7.843
_cell_angle_alpha 90.00
_cell_angle_beta 90.00
_cell_angle_gamma 90.00
_space_group_name_H-M_alt 'F -4 3 m'
_space_group_IT_number 216
_space_group_name_Hall 'F -4 2 3'
loop_
_atom_site_label
_atom_site_type_symbol
_atom_site_fract_x
_atom_site_fract_y
_atom_site_fract_z
Sr1 Sr 0.000 0.000 0.000
Mo1 Mo 0.119 0.119 0.381
Cl1 Cl 0.250 0.250 0.750
# D(E_F): 26.9 states/eV/cell
# E_tot: -41.1 eV/f.u.
# energy relative to the elements, uncorrected: 554 kJ/mol of formula units
# crystal system: cubic
# density: 6.98 g cm⁻³

---

Record 8
# SrMoCl3 | the Alexandria database | GGA-PBE | relaxed
data_SrMoCl3
_chemical_formula_sum 'Sr1 Mo1 Cl3'
_cell_length_a 5.605
_cell_length_b 5.605
_cell_length_c 5.605
_cell_angle_alpha 90.00
_cell_angle_beta 90.00
_cell_angle_gamma 90.00
_space_group_name_H-M_alt 'P m -3 m'
_space_group_IT_number 221
_space_group_name_Hall '-P 4 2 3'
loop_
_atom_site_label
_atom_site_type_symbol
_atom_site_fract_x
_atom_site_fract_y
_atom_site_fract_z
Sr1 Sr 0.000 0.000 0.000
Mo1 Mo 0.500 0.500 0.500
Cl1 Cl 0.000 0.000 0.500
# D(E_F): 0.1 states/eV/cell
# E_tot: -21.1 eV/f.u.
# energy relative to the elements, uncorrected: -296 kJ/mol of formula units
# crystal system: cubic
# density: 2.73 g cm⁻³
# energy relative to the lowest polymorph listed for this composition: 0.121 eV per atom